# FeTcTe

A relaxed FeTcTe crystal (GGA-PBE, the Alexandria database).

Properties
raw total energy	-21.67	eV per formula unit
total moment	1.4	μB per formula unit
SG	No. 160
energy above the most stable polymorph in this dataset	0.019	eV/atom
formation energy without anion corrections	2.33	kcal/mol of atoms

Cell lengths 8.945, 4.065, 7.047 Å; angles 90.00, 105.16, 90.00 degrees
Site moments in Bohr magnetons follow the coordinates.
Sites, in units of the cell vectors:
Te 0.595 0.000 0.745  0.00
Te 0.595 0.500 0.245  0.00
Te 0.986 0.000 0.543  -0.02
Te 0.986 0.500 0.043  -0.02
Tc 0.375 0.000 0.339  0.30
Tc 0.375 0.500 0.839  0.30
Tc 0.167 0.000 0.936  0.26
Tc 0.167 0.500 0.436  0.26
Fe 0.448 0.000 0.030  0.00
Fe 0.448 0.500 0.530  0.00
Fe 0.277 0.000 0.639  2.20
Fe 0.277 0.500 0.139  2.20